(A)
Computed, not measured: a relaxed structure of Sr3CaIr at the PBE-GGA level of DFT.

Computed properties:
Calculated volume (A^3/atom): 41.97
DOS(E_F) (states/eV/f.u.): 3.84
Magnetic moment (μB/atom): 0.00
Symmetry: P2/c (13)
Crystal system: monoclinic

abc: 7.855 7.447 14.351
angles: 90.00 90.58 90.00
Fractional coordinates of all 20 atoms:
Sr 0.632 0.232 0.444
Sr 0.632 0.768 0.944
Sr 0.252 0.444 0.790
Sr 0.112 0.713 0.039
Sr 0.252 0.556 0.290
Sr 0.368 0.768 0.556
Sr 0.888 0.713 0.461
Sr 0.748 0.444 0.710
Sr 0.888 0.287 0.961
Sr 0.748 0.556 0.210
Sr 0.368 0.232 0.056
Sr 0.112 0.287 0.539
Ca 0.201 0.083 0.294
Ca 0.799 0.083 0.206
Ca 0.201 0.917 0.794
Ca 0.799 0.917 0.706
Ir 0.054 0.339 0.152
Ir 0.054 0.661 0.652
Ir 0.946 0.339 0.348
Ir 0.946 0.661 0.848


(B)
Computed, not measured: a relaxed structure of Sr3CaIr at the PBE-GGA level of DFT.

Computed properties:
Calculated volume (A^3/atom): 46.52
DOS(E_F) (states/eV/f.u.): 10.83
Magnetic moment (μB/atom): 0.39
Symmetry: Pm-3m (221)
Crystal system: cubic

abc: 6.150 6.150 6.150
angles: 90.00 90.00 90.00
Fractional coordinates of all 5 atoms:
Sr 0.000 0.500 0.000
Sr 0.000 0.000 0.500
Sr 0.500 0.000 0.000
Ca 0.000 0.000 0.000
Ir 0.500 0.500 0.500


Most stable: (A) (next structure +1665 meV per atom)


(A)
Computed, not measured: a relaxed structure of Sr3CaIr at the PBE-GGA level of DFT.

Computed properties:
Calculated volume (A^3/atom): 41.95
DOS(E_F) (states/eV/f.u.): 3.96
Magnetic moment (μB/atom): 0.00
Symmetry: Pm-3m (221)
Crystal system: cubic

abc: 5.942 5.942 5.942
angles: 90.00 90.00 90.00
Fractional coordinates of all 5 atoms:
Sr 0.000 0.500 0.000
Sr 0.000 0.000 0.500
Sr 0.500 0.000 0.000
Ca 0.500 0.500 0.500
Ir 0.000 0.000 0.000


(B)
Computed, not measured: a relaxed structure of Sr3CaIr at the PBE-GGA level of DFT.

Computed properties:
Calculated volume (A^3/atom): 42.18
DOS(E_F) (states/eV/f.u.): 3.01
Magnetic moment (μB/atom): 0.00
Symmetry: C2/c (15)
Crystal system: monoclinic

abc: 8.998 8.231 13.758
angles: 97.24 90.00 123.14
Fractional coordinates of all 20 atoms:
Sr 0.623 0.777 0.862
Sr 0.846 0.223 0.638
Sr 0.377 0.223 0.138
Sr 0.154 0.777 0.362
Sr 0.393 0.276 0.612
Sr 0.118 0.724 0.888
Sr 0.607 0.724 0.388
Sr 0.882 0.276 0.112
Sr 0.164 0.240 0.874
Sr 0.924 0.760 0.626
Sr 0.076 0.240 0.374
Sr 0.836 0.760 0.126
Ca 0.583 0.262 0.876
Ca 0.321 0.738 0.624
Ca 0.417 0.738 0.124
Ca 0.679 0.262 0.376
Ir 0.000 0.500 0.500
Ir 0.500 0.500 0.000
Ir 0.728 0.000 0.250
Ir 0.272 0.000 0.750


Most stable: (B) (next structure +73 meV per atom)


(A)
Computed, not measured: a relaxed structure of SrCaIr2 at the PBE-GGA level of DFT.

Computed properties:
Calculated volume (A^3/atom): 21.15
DOS(E_F) (states/eV/f.u.): 2.49
Magnetic moment (μB/atom): 0.00
Symmetry: P4/mmm (123)
Crystal system: tetragonal

abc: 3.201 3.201 8.258
angles: 90.00 90.00 90.00
Fractional coordinates of all 4 atoms:
Sr 0.500 0.500 0.250
Ca 0.500 0.500 0.750
Ir 0.000 0.000 0.988
Ir 0.000 0.000 0.512


(B)
Computed, not measured: a relaxed structure of SrCaIr2 at the PBE-GGA level of DFT.

Computed properties:
Calculated volume (A^3/atom): 21.25
DOS(E_F) (states/eV/f.u.): 2.54
Magnetic moment (μB/atom): 0.00
Symmetry: Cmmm (65)
Crystal system: orthorhombic

abc: 5.220 5.220 3.223
angles: 90.00 90.00 104.57
Fractional coordinates of all 4 atoms:
Sr 0.500 0.000 0.500
Ca 0.000 0.500 0.500
Ir 0.000 0.000 0.000
Ir 0.500 0.500 0.000


Most stable: (A) (next structure +26 meV per atom)


(A)
Computed, not measured: a relaxed structure of SrCaIr2 at the PBE-GGA level of DFT.

Computed properties:
Calculated volume (A^3/atom): 21.80
DOS(E_F) (states/eV/f.u.): 3.49
Magnetic moment (μB/atom): 0.00
Symmetry: P2/m (10)
Crystal system: monoclinic

abc: 4.188 3.153 7.330
angles: 64.27 90.00 90.00
Fractional coordinates of all 4 atoms:
Sr 0.500 0.250 0.250
Ca 0.500 0.750 0.750
Ir 0.000 0.042 0.956
Ir 0.000 0.458 0.544


(B)
Computed, not measured: a relaxed structure of SrCaIr2 at the PBE-GGA level of DFT.

Computed properties:
Calculated volume (A^3/atom): 22.35
DOS(E_F) (states/eV/f.u.): 2.79
Magnetic moment (μB/atom): 0.00
Symmetry: I-42d (122)
Crystal system: tetragonal

abc: 8.021 8.021 6.316
angles: 50.58 50.58 90.00
Fractional coordinates of all 8 atoms:
Sr 0.000 0.000 0.000
Sr 0.750 0.250 0.500
Ca 0.500 0.500 0.000
Ca 0.250 0.750 0.500
Ir 0.615 0.125 0.250
Ir 0.135 0.625 0.250
Ir 0.375 0.385 0.750
Ir 0.875 0.865 0.750


Most stable: (A) (next structure +279 meV per atom)


(A)
Computed, not measured: a relaxed structure of SrCaIr2 at the PBE-GGA level of DFT.

Computed properties:
Calculated volume (A^3/atom): 27.02
DOS(E_F) (states/eV/f.u.): 3.57
Magnetic moment (μB/atom): 0.00
Symmetry: P4mm (99)
Crystal system: tetragonal

abc: 3.566 3.566 8.497
angles: 90.00 90.00 90.00
Fractional coordinates of all 4 atoms:
Sr 0.000 0.000 0.425
Ca 0.500 0.500 0.835
Ir 0.000 0.000 0.082
Ir 0.500 0.500 0.158


(B)
Computed, not measured: a relaxed structure of SrCaIr2 at the PBE-GGA level of DFT.

Computed properties:
Calculated volume (A^3/atom): 20.84
DOS(E_F) (states/eV/f.u.): 4.35
Magnetic moment (μB/atom): 0.29
Symmetry: F-43m (216)
Crystal system: cubic

abc: 4.903 4.903 4.903
angles: 60.00 60.00 60.00
Fractional coordinates of all 4 atoms:
Sr 0.750 0.750 0.750
Ca 0.500 0.500 0.500
Ir 0.000 0.000 0.000
Ir 0.250 0.250 0.250


(C)
Computed, not measured: a relaxed structure of SrCaIr2 at the PBE-GGA level of DFT.

Computed properties:
Calculated volume (A^3/atom): 22.51
DOS(E_F) (states/eV/f.u.): 3.27
Magnetic moment (μB/atom): 0.00
Symmetry: Imm2 (44)
Crystal system: orthorhombic

abc: 6.408 6.408 6.408
angles: 151.61 133.63 55.27
Fractional coordinates of all 4 atoms:
Sr 0.523 0.523 0.000
Ca 0.226 0.726 0.500
Ir 0.967 0.967 0.000
Ir 0.785 0.285 0.500


(D)
Computed, not measured: a relaxed structure of SrCaIr2 at the PBE-GGA level of DFT.

Computed properties:
Calculated volume (A^3/atom): 21.69
DOS(E_F) (states/eV/f.u.): 2.98
Magnetic moment (μB/atom): 0.00
Symmetry: Fm-3m (225)
Crystal system: cubic

abc: 4.969 4.969 4.969
angles: 60.00 60.00 60.00
Fractional coordinates of all 4 atoms:
Sr 0.500 0.500 0.500
Ca 0.000 0.000 0.000
Ir 0.250 0.250 0.250
Ir 0.750 0.750 0.750


Most stable: (C) (next structure +74 meV per atom)


(A)
Computed, not measured: a relaxed structure of Sr4CaIr at the PBE-GGA level of DFT.

Computed properties:
Calculated volume (A^3/atom): 45.80
DOS(E_F) (states/eV/f.u.): 6.24
Magnetic moment (μB/atom): 0.00
Symmetry: P4/mmm (123)
Crystal system: tetragonal

abc: 5.250 5.250 9.972
angles: 90.00 90.00 90.00
Fractional coordinates of all 6 atoms:
Sr 0.500 0.000 0.323
Sr 0.000 0.500 0.323
Sr 0.000 0.500 0.677
Sr 0.500 0.000 0.677
Ca 0.000 0.000 0.000
Ir 0.500 0.500 0.500


(B)
Computed, not measured: a relaxed structure of Sr4CaIr at the PBE-GGA level of DFT.

Computed properties:
Calculated volume (A^3/atom): 39.75
DOS(E_F) (states/eV/f.u.): 9.23
Magnetic moment (μB/atom): 0.00
Symmetry: F-43m (216)
Crystal system: cubic

abc: 6.961 6.961 6.961
angles: 60.00 60.00 60.00
Fractional coordinates of all 6 atoms:
Sr 0.880 0.374 0.374
Sr 0.374 0.374 0.880
Sr 0.374 0.880 0.374
Sr 0.374 0.374 0.374
Ca 0.750 0.750 0.750
Ir 0.000 0.000 0.000


Most stable: (A) (next structure +752 meV per atom)